# 1
{"formula": "LiPC", "functional": "PBE", "state": "relaxed", "sg": "P3m1, No. 156", "e_form_mev_per_atom": 22, "de_polymorph_ev_per_atom": 0.0535, "lattice": [[2.8943, 0.0000, 0.0000], [-1.4472, 2.5066, 0.0000], [0.0000, 0.0000, 4.7192]], "species": ["Li", "P", "C"], "fractional_positions": [[0.0000, 0.0000, 0.0000], [0.6667, 0.3333, 0.5007], [0.3333, 0.6667, 0.3316]]}

=====

# 2
{"formula": "Li2P2C", "functional": "PBE", "state": "relaxed", "sg": "I4/mmm, No. 139", "e_form_mev_per_atom": 779, "de_polymorph_ev_per_atom": 0.0000, "lattice": [[-1.5898, 1.5898, 7.1389], [1.5898, -1.5898, 7.1389], [1.5898, 1.5898, -7.1389]], "species": ["Li", "Li", "P", "P", "C"], "fractional_positions": [[0.0846, 0.0846, 0.0000], [0.9154, 0.9154, 0.0000], [0.2500, 0.7500, 0.5000], [0.7500, 0.2500, 0.5000], [0.5000, 0.5000, 0.0000]]}

=====

# 3
{"formula": "LiPC", "functional": "PBE", "state": "relaxed", "sg": "Pmn2_1, No. 31", "e_form_mev_per_atom": -2, "de_polymorph_ev_per_atom": 0.0298, "lattice": [[2.8793, 0.0000, 0.0000], [0.0000, 5.3141, 0.0000], [0.0000, 0.0000, 4.4455]], "species": ["Li", "Li", "P", "P", "C", "C"], "fractional_positions": [[0.0000, 0.1014, 0.0000], [0.5000, 0.8986, 0.5000], [0.0000, 0.3482, 0.4974], [0.5000, 0.6518, 0.9974], [0.0000, 0.6270, 0.2428], [0.5000, 0.3730, 0.7428]]}